A geometry-optimized TaSiRh structure, computed with PBE-GGA.

Results
ΔE_f (raw)	-0.8015	eV per atom
symmetry	P2_1/m

Cell lengths 3.7754, 6.4321, 10.9985 Å; angles 89.56, 90.00, 90.00 degrees
Fractional coordinates of all 18 atoms:
Rh1 0.7500 0.6332 0.7940
Si1 0.2500 0.2384 0.4143
Si2 0.7500 0.7616 0.5857
Si3 0.7500 0.2375 0.0840
Ta1 0.7500 0.0189 0.2909
Rh2 0.7500 0.1469 0.5406
Si4 0.7500 0.2713 0.7495
Ta2 0.7500 0.5303 0.3838
Ta3 0.2500 0.9811 0.7091
Rh3 0.2500 0.8531 0.4594
Si5 0.2500 0.7287 0.2505
Rh4 0.2500 0.9862 0.0925
Rh5 0.7500 0.0138 0.9075
Ta4 0.7500 0.6504 0.0767
Si6 0.2500 0.7625 0.9160
Rh6 0.2500 0.3668 0.2060
Ta5 0.2500 0.4697 0.6162
Ta6 0.2500 0.3496 0.9233

A geometry-optimized SrC3 structure, computed with PBE-GGA.

Results
DFT formation energy	1.77	eV per atom
energy relative to the lowest polymorph listed for this composition	1185	meV/atom
symmetry	I4/mmm

Cell lengths 9.2463, 9.2463, 9.2463 Å; angles 159.85, 159.85, 28.65 degrees
Fractional coordinates of all 8 atoms:
C1 0.2227 0.2227 0.0000
C2 0.2500 0.7500 0.5000
C3 0.7773 0.7773 0.0000
C4 0.5000 0.0000 0.5000
C5 0.0000 0.5000 0.5000
Sr1 0.3796 0.3796 0.0000
Sr2 0.6204 0.6204 0.0000
C6 0.7500 0.2500 0.5000

A geometry-optimized La5Nd4Er4 structure, computed with PBE-GGA.

Results
DFT formation energy	0.03	eV per atom
symmetry	I4/m

Cell lengths 5.1521, 9.6839, 9.6839 Å; angles 85.94, 74.57, 74.57 degrees
Fractional coordinates of all 13 atoms:
Er1 0.8451 0.9215 0.3884
Er2 0.1549 0.0785 0.6116
Nd1 0.3842 0.6929 0.5386
Nd2 0.6158 0.3071 0.4614
La1 0.5412 0.7674 0.1502
La2 0.4588 0.2326 0.8498
Nd3 0.0771 0.5386 0.3071
Er3 0.2334 0.6116 0.9215
Nd4 0.9229 0.4614 0.6929
Er4 0.7666 0.3884 0.0785
La3 0.0000 0.0000 0.0000
La4 0.6914 0.8498 0.7674
La5 0.3086 0.1502 0.2326

A geometry-optimized Eu2PSe structure, computed with PBE-GGA.

Results
ΔE_f (raw)	-1.5833	eV per atom
symmetry	R-3m

Cell lengths 4.2318, 4.2318, 7.4034 Å; angles 73.39, 73.39, 60.00 degrees
Fractional coordinates of all 4 atoms:
Eu1 0.2544 0.2544 0.2369
P1 0.0000 0.0000 0.0000
Se1 0.5000 0.5000 0.5000
Eu2 0.7456 0.7456 0.7631